## LiPm5Pt4 (PBE)

Data for LiPm5Pt4 after structural relaxation.

Unit cell a=3.6235 b=3.6235 c=18.2380 alpha=90.00 beta=90.00 gamma=90.00
With the nearest neighbours (Å) after each atom.
Fractional coordinates of all 10 atoms:
Pm 0.5000 0.5000 0.3064  8 Pt 3.10-3.19, 1 Pm 3.47
Pm 0.5000 0.5000 0.5000  8 Pt 3.12
Pm 0.5000 0.5000 0.1163  4 Pt 3.01, 4 Li 3.33
Pm 0.5000 0.5000 0.8837  4 Pt 3.01, 4 Li 3.33
Pm 0.5000 0.5000 0.6936  8 Pt 3.10-3.19, 1 Pm 3.47
Pt 0.0000 0.0000 0.7973  8 Pm 3.01-3.19
Pt 0.0000 0.0000 0.5974  8 Pm 3.10-3.12
Pt 0.0000 0.0000 0.2027  8 Pm 3.01-3.19
Pt 0.0000 0.0000 0.4026  8 Pm 3.10-3.12
Li 0.0000 0.0000 0.0000  8 Pm 3.33, 4 Li 3.62, 2 Pt 3.70

Output
Its calculated formation energy is -0.85 eV per atom. Its symmetry is P4/mmm (123). The density of states at the Fermi level is 0.844 states/eV per atom. As for the calculated volume: 23.95 Å³/atom. For the magnetization, the calculation gives 0.000 μB per formula unit.